1.
# P2C

A relaxed P2C crystal (PBE, Alexandria via LeMat-Bulk).

extended XYZ file:
```
6
Lattice="4.284 0.000 0.000 -2.142 3.710 0.000 0.000 0.000 4.354" Properties=species:S:1:pos:R:3 pbc="T T T"
P 0.000 0.000 0.000
P 0.000 0.000 2.177
P 0.000 2.473 1.089
P 2.142 1.237 3.266
C 0.000 2.473 3.266
C 2.142 1.237 1.089
```

Summary:
* SG: No. 194
* ΔH_f (0 K): 1868 meV per atom
* spin magnetization: 0.00 μB per formula unit
* D(E_F): 4.162 states/eV/cell
* energy above the most stable polymorph in this dataset: 1438 meV/atom

=====

2.
# Rb3InGa2O6

A relaxed Rb3InGa2O6 crystal (PBE, Alexandria via LeMat-Bulk).

extended XYZ file:
```
12
Lattice="6.076 0.000 0.000 -3.038 5.262 0.000 0.000 0.000 7.362" Properties=species:S:1:pos:R:3 pbc="T T T"
Rb 0.000 0.000 0.000
Rb 0.000 3.508 5.621
Rb 3.038 1.754 1.740
In 0.000 0.000 3.681
Ga 0.000 3.508 2.391
Ga 3.038 1.754 4.971
O 0.000 1.723 2.270
O -1.546 4.401 2.270
O 1.492 0.862 5.092
O 1.546 4.401 2.270
O 4.584 0.862 5.092
O 3.038 3.539 5.092
```

Summary:
* SG: No. 164
* spin magnetization: 0.00 μB per formula unit
* electronic total energy: -4.9737 eV/atom

=====

Question: Which value of spin magnetization does entry 2 give?
Answer: 0.00 μB per formula unit

=====

Question: What is the formula in the first record?
Answer: P2C